DFT (PBE) results for a geometry-optimized Ac4CdPt2 structure.

Geometry as POSCAR:
```
Ac4CdPt2
1.0
4.421 0.000 0.000
0.000 13.777 0.000
0.000 0.000 16.470
Ac Pt Cd
16 8 4
direct
0.250 0.916 0.927 Ac
0.750 0.876 0.473 Ac
0.250 0.026 0.287 Ac
0.250 0.416 0.573 Ac
0.750 0.584 0.427 Ac
0.750 0.376 0.027 Ac
0.250 0.624 0.973 Ac
0.750 0.474 0.787 Ac
0.750 0.084 0.073 Ac
0.750 0.794 0.156 Ac
0.250 0.124 0.527 Ac
0.250 0.706 0.656 Ac
0.750 0.974 0.713 Ac
0.250 0.526 0.213 Ac
0.750 0.294 0.344 Ac
0.250 0.206 0.844 Ac
0.750 0.561 0.611 Pt
0.250 0.439 0.389 Pt
0.250 0.920 0.596 Pt
0.750 0.061 0.889 Pt
0.250 0.939 0.111 Pt
0.750 0.580 0.096 Pt
0.250 0.420 0.904 Pt
0.750 0.080 0.404 Pt
0.250 0.761 0.328 Cd
0.750 0.239 0.672 Cd
0.250 0.261 0.172 Cd
0.750 0.739 0.828 Cd
```

ΔH_f (0 K)   -0.770 eV per atom
Space-group type   No. 62
Total moment   0.000 μB per atom
Uncorrected energy   -34.8 eV per formula unit